# 1
# CaDy2

CaDy2 after structural relaxation (GGA-PBE, Alexandria via LeMat-Bulk).

a b c (Å): 3.6292 3.6292 8.1902
angles (deg): 102.80 102.80 90.00
Last column: nearest neighbours and their distance in Å.
Positions (direct):
Dy: 0.3235 0.3235 0.6471  8 Dy 3.44-3.63, 4 Ca 3.76
Ca: 0.0000 0.0000 0.0000  4 Ca 3.63, 8 Dy 3.76
Dy: 0.6765 0.6765 0.3529  8 Dy 3.44-3.63, 4 Ca 3.76

Values from the calculation:
Formation enthalpy at 0 K: 0.066 eV per atom
Distance to the lowest polymorph of the same formula: 0.0 kJ per mole of atoms
Magnetization: 0.000 μB/f.u.


# 2
# CaDy3

CaDy3 after structural relaxation (GGA-PBE, Alexandria via LeMat-Bulk).

a b c (Å): 5.0936 5.0936 5.0936
angles (deg): 90.00 90.00 90.00
Last column: nearest neighbours and their distance in Å.
Positions (direct):
Dy: 0.5000 0.0000 0.5000  8 Dy 3.60, 4 Ca 3.60
Ca: 0.0000 0.0000 0.0000  12 Dy 3.60
Dy: 0.0000 0.5000 0.5000  8 Dy 3.60, 4 Ca 3.60
Dy: 0.5000 0.5000 0.0000  8 Dy 3.60, 4 Ca 3.60

Values from the calculation:
Formation enthalpy at 0 K: 0.135 eV per atom
Distance to the lowest polymorph of the same formula: 5.0 kJ per mole of atoms
Magnetization: 0.000 μB/f.u.


# 3
# CaDy3

CaDy3 after structural relaxation (GGA-PBE, Alexandria via LeMat-Bulk).

a b c (Å): 6.2304 6.2304 6.2304
angles (deg): 131.68 131.68 70.73
Last column: nearest neighbours and their distance in Å.
Positions (direct):
Dy: 0.2500 0.7500 0.5000  4 Ca 3.60, 8 Dy 3.60-3.61
Dy: 0.5000 0.5000 0.0000  8 Dy 3.60, 4 Ca 3.61
Ca: 0.0000 0.0000 0.0000  12 Dy 3.60-3.61
Dy: 0.7500 0.2500 0.5000  8 Dy 3.60-3.61, 4 Ca 3.60

Values from the calculation:
Formation enthalpy at 0 K: 0.128 eV per atom
Distance to the lowest polymorph of the same formula: 4.4 kJ per mole of atoms
Magnetization: 0.000 μB/f.u.


# 4
# CaDy3

CaDy3 after structural relaxation (GGA-PBE, Alexandria via LeMat-Bulk).

a b c (Å): 5.7338 5.7338 5.7338
angles (deg): 60.00 60.00 60.00
Last column: nearest neighbours and their distance in Å.
Positions (direct):
Ca: 0.5000 0.5000 0.5000  8 Dy 3.51
Dy: 0.2500 0.2500 0.2500  4 Dy 3.51, 4 Ca 3.51
Dy: 0.0000 0.0000 0.0000  8 Dy 3.51
Dy: 0.7500 0.7500 0.7500  4 Ca 3.51, 4 Dy 3.51

Values from the calculation:
Formation enthalpy at 0 K: 0.175 eV per atom
Distance to the lowest polymorph of the same formula: 8.9 kJ per mole of atoms
Magnetization: 0.006 μB/f.u.


# 5
# Ca2DyEr

Ca2DyEr after structural relaxation (GGA-PBE, Alexandria via LeMat-Bulk).

a b c (Å): 5.5220 5.0455 5.0455
angles (deg): 90.00 90.00 90.00
Last column: nearest neighbours and their distance in Å.
Positions (direct):
Ca: 0.0000 0.0000 0.5000  4 Ca 3.57, 4 Dy 3.74, 4 Er 3.74
Dy: 0.5000 0.5000 0.5000  4 Er 3.57, 8 Ca 3.74
Er: 0.5000 0.0000 0.0000  4 Dy 3.57, 8 Ca 3.74
Ca: 0.0000 0.5000 0.0000  4 Ca 3.57, 4 Dy 3.74, 4 Er 3.74

Values from the calculation:
Formation enthalpy at 0 K: 0.193 eV per atom
Distance to the lowest polymorph of the same formula: 0.0 kJ per mole of atoms
Magnetization: 0.027 μB/f.u.


# 6
# CaDy8Er4

CaDy8Er4 after structural relaxation (GGA-PBE, Alexandria via LeMat-Bulk).

a b c (Å): 5.0174 6.1511 16.2678
angles (deg): 108.33 81.13 65.93
Last column: nearest neighbours and their distance in Å.
Positions (direct):
Dy: 0.5417 0.2256 0.6909  5 Er 3.50-3.54, 7 Dy 3.50-3.56
Er: 0.3088 0.8446 0.5379  9 Dy 3.49-3.56, 3 Er 3.54-3.55
Er: 0.6912 0.1554 0.4621  9 Dy 3.49-3.56, 3 Er 3.54-3.55
Dy: 0.1587 0.9180 0.7647  4 Er 3.49-3.58, 7 Dy 3.52-3.56, 1 Ca 3.61
Er: 0.2190 0.4022 0.1599  10 Dy 3.49-3.68, 2 Ca 3.63
Dy: 0.3884 0.3045 0.9187  5 Dy 3.50-3.63, 4 Er 3.51-3.68, 3 Ca 3.56-3.58
Er: 0.7810 0.5978 0.8401  10 Dy 3.49-3.68, 2 Ca 3.63
Dy: 0.0760 0.4624 0.3857  6 Er 3.50-3.56, 6 Dy 3.52-3.56
Dy: 0.8413 0.0820 0.2353  4 Er 3.49-3.58, 7 Dy 3.52-3.56, 1 Ca 3.61
Dy: 0.4583 0.7744 0.3091  5 Er 3.50-3.54, 7 Dy 3.50-3.56
Dy: 0.6116 0.6955 0.0813  5 Dy 3.50-3.63, 4 Er 3.51-3.68, 3 Ca 3.56-3.58
Ca: 0.0000 0.0000 0.0000  8 Dy 3.56-3.61, 4 Er 3.63
Dy: 0.9240 0.5376 0.6143  6 Er 3.50-3.56, 6 Dy 3.52-3.56

Values from the calculation:
Formation enthalpy at 0 K: 0.050 eV per atom
Magnetization: 0.002 μB/f.u.